No. 1
Computed, not measured: Mg2RePt at its PBEsol-relaxed geometry at the meta-GGA SCAN level of DFT.

**D(E_F)**: 6.6 states/eV/cell
**Energy of formation**: 29.7 meV/atom
**Density**: 11376 kg/m³
**Polymorph energy (0 for the lowest one)**: 48.1 meV per atom
**Total energy**: -37.780 eV/atom
**Volume**: 15.7 Å³ per atom

Lattice parameters (Å, degrees): 3.969 3.969 7.968 90.00 90.00 90.00
Space group I-4m2 (No. 119)
Symmetry-distinct sites (fractional):
Mg 0.000 0.000 0.000 x2
Mg 0.000 0.500 0.250 x2
Re 0.000 0.500 0.750 x2
Pt 0.000 0.000 0.500 x2

***

No. 2
Computed, not measured: Mg4RePt at its PBEsol-relaxed geometry at the meta-GGA SCAN level of DFT.

**D(E_F)**: 12.4 states/eV/cell
**Energy of formation**: 524.8 meV/atom
**Density**: 7938 kg/m³
**Total energy**: -26.339 eV/atom
**Volume**: 16.7 Å³ per atom

Lattice parameters (Å, degrees): 7.371 7.371 7.371 90.00 90.00 90.00
Space group F-43m (No. 216)
Symmetry-distinct sites (fractional):
Mg 0.124 0.124 0.124 x16
Re 0.250 0.250 0.750 x4
Pt 0.000 0.000 0.500 x4

***

No. 3
Computed, not measured: MgRePt at its PBEsol-relaxed geometry at the meta-GGA SCAN level of DFT.

**D(E_F)**: 3.0 states/eV/cell
**Energy of formation**: 12.5 meV/atom
**Density**: 14907 kg/m³
**Total energy**: -48.742 eV/atom
**Volume**: 15.1 Å³ per atom

Lattice parameters (Å, degrees): 2.705 4.046 8.256 90.00 90.00 90.00
Space group Imm2 (No. 44)
Symmetry-distinct sites (fractional):
Mg 0.000 0.000 0.000 x2
Re 0.000 0.000 0.330 x2
Pt 0.000 0.000 0.664 x2